Entry 1:
A plane-wave DFT calculation with PBE-GGA was carried out for a relaxed PaHgPdRh crystal.

Cell lengths 4.797, 4.797, 4.797 Å; angles 60.00, 60.00, 60.00 degrees
Element x y z (fractional)
Pa 0.000 0.000 0.000
Hg 0.500 0.500 0.500
Pd 0.250 0.250 0.250
Rh 0.750 0.750 0.750

Space group ... F-43m, No. 216
Density of states at the Fermi level ... 1.18 states/eV per atom
Formation enthalpy at 0 K ... -0.444 eV/atom

Entry 2:
A plane-wave DFT calculation with PBE-GGA was carried out for a relaxed Na2Nd2USe6 crystal.

Cell lengths 7.339, 7.339, 7.434 Å; angles 99.58, 99.58, 119.44 degrees
Element x y z (fractional)
Na 0.170 0.830 0.000
Na 0.830 0.170 0.000
Nd 0.334 0.666 0.500
Nd 0.666 0.334 0.500
U 0.000 0.000 0.500
Se 0.074 0.398 0.729
Se 0.241 0.241 0.272
Se 0.398 0.074 0.729
Se 0.602 0.926 0.271
Se 0.759 0.759 0.728
Se 0.926 0.602 0.271

Formation energy from raw total energies ... -1515 meV per atom
Space group ... C2/m, No. 12
Density of states at the Fermi level ... 0.61 states/eV per atom

Entry 3:
A plane-wave DFT calculation with PBE-GGA was carried out for a relaxed CeHfBe crystal.

Cell lengths 6.677, 6.677, 6.677 Å; angles 153.51, 153.51, 37.82 degrees
Element x y z (fractional)
Ce 0.000 0.000 0.000
Hf 0.286 0.286 0.000
Be 0.660 0.660 0.000

Excess energy over the best structure of this formula in the dataset ... 0 meV/atom
Space group ... I4mm, No. 107
Density of states at the Fermi level ... 1.50 states/eV per atom
Formation enthalpy at 0 K ... 0.125 eV/atom

Entry 4:
A plane-wave DFT calculation with PBE-GGA was carried out for a relaxed La2Y3Tm7 crystal.

Cell lengths 6.332, 3.508, 17.401 Å; angles 90.00, 96.16, 90.00 degrees
Element x y z (fractional)
La 0.058 0.000 0.174
La 0.942 0.000 0.826
Y 0.453 0.500 0.843
Y 0.500 0.000 0.500
Y 0.547 0.500 0.157
Tm 0.000 0.500 0.500
Tm 0.226 0.000 0.664
Tm 0.257 0.000 0.999
Tm 0.277 0.500 0.338
Tm 0.723 0.500 0.662
Tm 0.743 0.000 0.001
Tm 0.774 0.000 0.336

Excess energy over the best structure of this formula in the dataset ... 0 meV/atom
Space group ... P2/m, No. 10
Density of states at the Fermi level ... 1.59 states/eV per atom
Formation enthalpy at 0 K ... 0.093 eV/atom

Entry 5:
A plane-wave DFT calculation with PBE-GGA was carried out for a relaxed Sm2MgPb4 crystal.

Cell lengths 6.914, 6.914, 10.192 Å; angles 127.18, 127.18, 34.58 degrees
Element x y z (fractional)
Sm 0.013 0.013 0.181
Sm 0.987 0.987 0.819
Mg 0.000 0.000 0.500
Pb 0.269 0.269 0.869
Pb 0.326 0.326 0.476
Pb 0.674 0.674 0.524
Pb 0.731 0.731 0.131

Space group ... C2/m, No. 12
Density of states at the Fermi level ... 0.74 states/eV per atom
Formation enthalpy at 0 K ... -0.124 eV/atom

Entry 6:
A plane-wave DFT calculation with PBE-GGA was carried out for a relaxed PrHo2Zn2In2 crystal.

Cell lengths 9.601, 9.601, 9.601 Å; angles 28.57, 28.57, 28.57 degrees
Element x y z (fractional)
Pr 0.000 0.000 0.000
Ho 0.129 0.129 0.129
Ho 0.871 0.871 0.871
Zn 0.408 0.408 0.408
Zn 0.592 0.592 0.592
In 0.259 0.259 0.259
In 0.741 0.741 0.741

Space group ... R-3m, No. 166
Density of states at the Fermi level ... 0.52 states/eV per atom
Formation enthalpy at 0 K ... -0.288 eV/atom

Entry 7:
A plane-wave DFT calculation with PBE-GGA was carried out for a relaxed SrAuCl2 crystal.

Cell lengths 5.270, 4.698, 5.286 Å; angles 90.00, 117.23, 90.00 degrees
Element x y z (fractional)
Sr 0.000 0.000 0.000
Au 0.246 0.500 0.753
Cl 0.461 0.000 0.539
Cl 0.770 0.500 0.228

Formation energy from raw total energies ... -1234 meV per atom
Excess energy over the best structure of this formula in the dataset ... 0 meV/atom
Space group ... Pm, No. 6
Density of states at the Fermi level ... 0.20 states/eV per atom

Entry 8:
A plane-wave DFT calculation with PBE-GGA was carried out for a relaxed CaTcB2Pb crystal.

Cell lengths 4.695, 4.695, 5.288 Å; angles 90.00, 90.00, 90.00 degrees
Element x y z (fractional)
Ca 0.000 0.000 0.000
Tc 0.500 0.500 0.000
B 0.000 0.500 0.500
B 0.500 0.000 0.500
Pb 0.500 0.500 0.500

Space group ... P4/mmm, No. 123
Density of states at the Fermi level ... 0.95 states/eV per atom
Formation enthalpy at 0 K ... 1.964 eV/atom

Entry 9:
A plane-wave DFT calculation with PBE-GGA was carried out for a relaxed Zn2FeCo crystal.

Cell lengths 2.585, 2.585, 7.454 Å; angles 90.00, 90.00, 90.00 degrees
Element x y z (fractional)
Zn 0.000 0.000 0.243
Zn 0.000 0.000 0.757
Fe 0.500 0.500 0.500
Co 0.500 0.500 0.000

Excess energy over the best structure of this formula in the dataset ... 35 meV/atom
Space group ... P4/mmm, No. 123
Density of states at the Fermi level ... 1.09 states/eV per atom
Formation enthalpy at 0 K ... 0.028 eV/atom

Entry 10:
A plane-wave DFT calculation with PBE-GGA was carried out for a relaxed ErHfZr crystal.

Cell lengths 5.137, 5.137, 3.221 Å; angles 90.00, 90.00, 120.00 degrees
Element x y z (fractional)
Er 0.000 0.000 0.000
Hf 0.667 0.333 0.000
Zr 0.333 0.667 0.500

Excess energy over the best structure of this formula in the dataset ... 66 meV/atom
Space group ... P-6m2, No. 187
Density of states at the Fermi level ... 1.63 states/eV per atom
Formation enthalpy at 0 K ... 0.156 eV/atom

Entry 11:
A plane-wave DFT calculation with PBE-GGA was carried out for a relaxed Mn5CuSe8 crystal.

Cell lengths 7.509, 7.509, 7.509 Å; angles 60.00, 60.00, 60.00 degrees
Element x y z (fractional)
Mn 0.000 0.000 0.000
Mn 0.135 0.622 0.622
Mn 0.622 0.135 0.622
Mn 0.622 0.622 0.135
Mn 0.622 0.622 0.622
Cu 0.250 0.250 0.250
Se 0.382 0.382 0.382
Se 0.382 0.382 0.855
Se 0.382 0.855 0.382
Se 0.404 0.865 0.865
Se 0.855 0.382 0.382
Se 0.865 0.404 0.865
Se 0.865 0.865 0.404
Se 0.865 0.865 0.865

Formation energy from raw total energies ... -415 meV per atom
Space group ... F-43m, No. 216
Density of states at the Fermi level ... 0.42 states/eV per atom

Entry 12:
A plane-wave DFT calculation with PBE-GGA was carried out for a relaxed Li2LaAu2 crystal.

Cell lengths 7.890, 7.890, 3.129 Å; angles 90.00, 90.00, 90.00 degrees
Element x y z (fractional)
Li 0.113 0.387 0.000
Li 0.387 0.887 0.000
Li 0.613 0.113 0.000
Li 0.887 0.613 0.000
La 0.000 0.000 0.000
La 0.500 0.500 0.000
Au 0.179 0.679 0.500
Au 0.321 0.179 0.500
Au 0.679 0.821 0.500
Au 0.821 0.321 0.500

Excess energy over the best structure of this formula in the dataset ... 113 meV/atom
Space group ... P4/mbm, No. 127
Density of states at the Fermi level ... 0.59 states/eV per atom
Formation enthalpy at 0 K ... -0.521 eV/atom

Q: What is the formula in the sixth record?
A: PrHo2Zn2In2

Q: What is the formula in the eleventh record?
A: Mn5CuSe8